First-principles (PBE with a Hubbard U) data for crystalline MnInIrO6 at its relaxed geometry, as listed in Alexandria via LeMat-Bulk.

DOS at the Fermi energy: 11.74 states/eV/cell
DFT total energy: -6.42 eV per atom
theoretical density: 7.036 g/cm³
symmetry: No. 163

abc: 5.3366 5.3366 8.7641
angles: 90.00 90.00 120.00
Atoms (fractional coordinates):
Mn1 0.0000 0.0000 0.0000
Mn2 0.0000 0.0000 0.5000
In1 0.3333 0.6667 0.2500
In2 0.6667 0.3333 0.7500
Ir1 0.3333 0.6667 0.7500
Ir2 0.6667 0.3333 0.2500
O1 0.0333 0.3641 0.6257
O2 0.0333 0.6692 0.8743
O3 0.3308 0.3641 0.8743
O4 0.3308 0.9667 0.6257
O5 0.3641 0.0333 0.1257
O6 0.3641 0.3308 0.3743
O7 0.6359 0.6692 0.6257
O8 0.6359 0.9667 0.8743
O9 0.6692 0.0333 0.3743
O10 0.6692 0.6359 0.1257
O11 0.9667 0.3308 0.1257
O12 0.9667 0.6359 0.3743